[1]
LaInAs2Os | the Alexandria database | GGA-PBE | relaxed; energy relative to the elements = 1.41 eV per atom; total magnetization = 0.527 μB per atom
1.0
5.039 0.000 0.000
0.000 5.039 0.000
0.000 0.000 6.034
La In As Os
1 1 2 1
direct
0.000 0.000 0.000
0.000 0.000 0.500
0.000 0.500 0.500
0.500 0.000 0.500
0.500 0.500 0.000



[2]
TaIn2Ag | the Alexandria database | GGA-PBE | relaxed; energy relative to the elements = 0.15 eV per atom; total magnetization = 0.000 μB per atom; energy above the most stable polymorph in this dataset = 0 meV/atom
1.0
3.138 -4.234 0.000
3.138 4.234 0.000
0.000 0.000 3.010
Ta In Ag
1 2 1
direct
0.000 0.000 0.000
0.000 0.500 0.500
0.500 0.000 0.500
0.500 0.500 0.000



[3]
CaLa3As4 | the Alexandria database | GGA-PBE | relaxed; energy relative to the elements = -1.39 eV per atom; total magnetization = 0.000 μB per atom
1.0
6.153 0.000 0.000
0.000 6.153 0.000
0.000 0.000 6.153
Ca La As
1 3 4
direct
0.000 0.000 0.000
0.000 0.500 0.500
0.500 0.000 0.500
0.500 0.500 0.000
0.000 0.000 0.500
0.000 0.500 0.000
0.500 0.000 0.000
0.500 0.500 0.500



[4]
GeAsPd2 | the Alexandria database | GGA-PBE | relaxed; energy relative to the elements = -0.24 eV per atom; total magnetization = 0.000 μB per atom; energy above the most stable polymorph in this dataset = 133 meV/atom
1.0
1.526 0.881 8.070
-1.526 0.881 8.070
0.000 -1.762 8.070
Ge As Pd
1 1 2
direct
0.000 0.000 0.000
0.500 0.500 0.500
0.252 0.252 0.252
0.748 0.748 0.748



Q: Among the records above, which one has the highest total magnetization?
A: LaInAs2Os



Q: Look up the total magnetization of the third one.
A: 0.000 μB per atom